No. 1
Compound: BaTe3
Source: the Alexandria database
Functional: PBE
Structure: optimized geometry

Lattice parameters (Å, degrees): 6.879 6.879 6.879 90.00 90.00 90.00
Element x y z (fractional)
Ba 0.000 0.000 0.000
Te 0.500 0.000 0.000
Te 0.000 0.500 0.000
Te 0.000 0.000 0.500

Computed properties:
Space-group type: Pm-3m, No. 221
Uncorrected energy, eV/cell: -10.60
Formation energy without anion corrections, eV per atom: 0.188



No. 2
Compound: SmMgH6Ir2
Source: the Alexandria database
Functional: PBE
Structure: optimized geometry

Lattice parameters (Å, degrees): 4.602 4.602 5.879 66.96 66.96 60.00
Element x y z (fractional)
Sm 0.000 0.000 0.000
Mg 0.500 0.500 0.500
H 0.056 0.563 0.818
H 0.563 0.056 0.818
H 0.437 0.437 0.182
H 0.944 0.437 0.182
H 0.437 0.944 0.182
H 0.563 0.563 0.818
Ir 0.792 0.792 0.625
Ir 0.208 0.208 0.375

Computed properties:
Space-group type: R-3m, No. 166
Uncorrected energy, eV/cell: -48.27



Which of these has the highest uncorrected energy? BaTe3



Which value of uncorrected energy does entry 1 give? -10.60 eV/cell